# ScCo2Ru, optimized geometry, DFT PBE
data_ScCo2Ru
_chemical_formula_sum 'Sc2 Co4 Ru2'
_space_group_name_H-M_alt 'I m m m'
_space_group_IT_number 71
_space_group_name_Hall '-I 2 2'
_cell_length_a 3.088
_cell_length_b 4.190
_cell_length_c 8.673
_cell_angle_alpha 90.00
_cell_angle_beta 90.00
_cell_angle_gamma 90.00
loop_
_atom_site_label
_atom_site_type_symbol
_atom_site_fract_x
_atom_site_fract_y
_atom_site_fract_z
Sc1 Sc 0.000 0.000 0.000
Co1 Co 0.000 0.500 0.243
Ru1 Ru 0.000 0.000 0.500
# **ΔE_f**: -0.03 eV/atom
# **Volume**: 14.03 A^3/atom
# **Crystal system**: orthorhombic
# **Magnetic moment**: 7.51 μB/cell